No. 1
In6Hg5Bi2 | GGA-PBE | optimized geometry

extended XYZ file:
```
26
Lattice="4.3866 -0.8012 0.0000 -2.5076 13.5643 0.0000 0.0000 0.0000 13.1769" Properties=species:S:1:pos:R:3 pbc="T T T"
In 0.3221 1.7999 5.2424
In 1.5570 10.9631 7.9344
In -0.9317 8.5821 1.3460
In 2.8108 4.1810 11.8309
In 0.6683 3.8350 1.6615
In 1.2108 8.9281 11.5153
In -0.5855 10.6171 4.9269
In 2.4646 2.1459 8.2500
In -1.2398 6.9162 5.0859
In 3.1189 5.8469 8.0910
In 0.0140 0.1340 1.5025
In 1.8651 12.6290 11.6743
Hg 0.5737 4.3724 6.8855
Hg 1.3054 8.3906 6.2914
Hg -0.6801 11.1546 12.8798
Hg 2.5592 1.6085 0.2971
Hg 1.0103 6.7688 3.1146
Hg 0.8688 5.9942 10.0622
Hg 2.2641 -0.0133 3.4738
Hg -0.3850 12.7764 9.7031
Hg 0.9395 6.3815 0.0000
Hg 2.1933 -0.4006 6.5884
Bi 2.8278 3.3161 3.8807
Bi -0.9487 9.4469 9.2962
Bi 1.5740 10.0983 2.7077
Bi 0.3050 2.6648 10.4691
```

Values from the calculation:
Final energy   -1.936 eV per atom
Space group   P2_1/c
ΔE_f   0.04 eV per atom

---

No. 2
In6Hg4Bi | GGA-PBE | optimized geometry

extended XYZ file:
```
11
Lattice="0.3905 -5.5373 3.7633 7.0075 -0.0732 -0.0451 -2.2503 5.3057 4.4533" Properties=species:S:1:pos:R:3 pbc="T T T"
In 3.5207 2.8042 3.4628
In -0.3089 -0.4126 5.3434
In 5.2969 -3.2988 4.3940
In 1.1867 4.6782 4.3732
In 2.0809 0.0333 2.9196
In -1.6619 2.5617 6.3001
Hg 2.2258 -2.5102 4.6318
Hg 2.4141 1.1523 5.8947
Hg 5.0643 -0.7358 2.5954
Hg -0.3279 2.1455 3.3660
Bi 0.3009 0.1674 0.1701
```

Values from the calculation:
Final energy   -1.926 eV per atom
Space group   P1
ΔE_f   0.03 eV per atom

---

No. 3
In5Hg4Bi2 | GGA-PBE | optimized geometry

extended XYZ file:
```
11
Lattice="3.4853 0.0000 0.0000 0.0000 10.5967 0.0000 -1.7427 -5.2983 8.6068" Properties=species:S:1:pos:R:3 pbc="T T T"
In 0.0000 3.3743 3.1399
In 1.7427 1.9240 5.4669
In 0.0000 7.2224 3.1399
In 1.7427 0.0000 0.0000
In 1.7427 -1.9240 5.4669
Hg 1.7427 5.2983 1.4625
Hg 0.0000 2.6643 0.0000
Hg 0.0000 0.0000 7.1443
Hg 0.0000 7.9324 0.0000
Bi 1.7427 5.2983 5.4580
Bi 0.0000 0.0000 3.1488
```

Values from the calculation:
Final energy   -2.015 eV per atom
Space group   Immm
ΔE_f   0.04 eV per atom
Energy relative to the lowest polymorph listed for this composition   24 meV per atom

---

No. 4
InHgBi | GGA-PBE | optimized geometry

extended XYZ file:
```
6
Lattice="-4.3501 2.2254 -2.2144 -1.7759 -1.6258 -4.6154 -4.2872 -6.8774 1.5350" Properties=species:S:1:pos:R:3 pbc="T T T"
In -7.2043 -5.3290 -4.1135
In -3.2030 -0.9844 -1.1496
Hg -5.6973 -6.1715 -1.4267
Hg -4.7099 -0.1419 -3.8364
Bi -6.7784 -2.6479 -2.2767
Bi -3.6286 -3.6655 -2.9863
```

Values from the calculation:
Final energy   -2.271 eV per atom
Space group   P-1
ΔE_f   0.04 eV per atom
Energy relative to the lowest polymorph listed for this composition   0 meV per atom

---

No. 5
In7Hg5Bi | GGA-PBE | optimized geometry

extended XYZ file:
```
13
Lattice="-11.3352 -0.7987 4.0075 -6.5642 -6.1140 3.6898 -6.0463 2.9918 6.9697" Properties=species:S:1:pos:R:3 pbc="T T T"
In -12.6715 -1.8300 7.0817
In -22.0279 -3.5233 13.2601
In -17.3889 0.3961 11.0855
In -17.7304 -5.6058 8.9237
In -15.6006 -2.0813 8.2417
In -12.2488 -4.9996 6.4891
In -11.9115 0.9298 8.6249
Hg -14.6256 -4.8891 8.4728
Hg -9.4157 -3.5606 6.4507
Hg -14.3576 -0.1774 10.1700
Hg -9.2377 -0.4314 7.5778
Hg -7.1052 -1.6005 5.5653
Bi -15.9094 -3.1958 11.3846
```

Values from the calculation:
Final energy   -1.847 eV per atom
Space group   Cm
ΔE_f   0.04 eV per atom

---

No. 6
In2Hg2Bi3 | GGA-PBE | optimized geometry

extended XYZ file:
```
7
Lattice="6.8006 0.8541 -2.2899 -2.0379 2.5175 1.2018 -0.0442 1.8852 11.3730" Properties=species:S:1:pos:R:3 pbc="T T T"
In 0.4675 2.6030 8.2560
In 4.2510 2.6538 2.0288
Hg 1.2138 2.5635 1.5537
Hg 3.5047 2.6933 8.7311
Bi 0.0000 0.0000 0.0000
Bi 3.7637 3.3563 5.5625
Bi 0.9548 1.9006 4.7222
```

Values from the calculation:
Final energy   -2.476 eV per atom
Space group   P-1
ΔE_f   0.06 eV per atom

---

No. 7
InHg2Bi | GGA-PBE | optimized geometry

extended XYZ file:
```
4
Lattice="-1.0402 -4.2745 2.0482 2.7395 -3.8862 -0.9703 4.1154 -1.3714 4.9768" Properties=species:S:1:pos:R:3 pbc="T T T"
In 3.0365 -4.7169 3.1954
Hg 3.2216 -1.7111 3.8139
Hg 1.3856 -2.4089 1.4251
Bi 5.1937 -6.8326 5.6244
```

Values from the calculation:
Final energy   -1.731 eV per atom
Space group   R3m
ΔE_f   0.07 eV per atom

---

No. 8
In5Hg8Bi | GGA-PBE | optimized geometry

extended XYZ file:
```
14
Lattice="7.4921 0.0000 -2.6786 -3.6897 6.5369 -2.6386 -0.1128 0.0000 7.9558" Properties=species:S:1:pos:R:3 pbc="T T T"
In 6.0454 2.4517 -2.5829
In 3.2882 5.6175 -2.6709
In 3.3126 4.0852 1.2386
In 3.6897 0.0000 2.6386
In 2.3380 0.9194 -1.3421
Hg -1.8556 4.9537 -2.0511
Hg 6.8088 0.5890 2.9228
Hg 4.8896 1.5592 0.2663
Hg 3.1112 2.6276 4.1417
Hg 1.2355 3.9093 -1.0333
Hg 1.2773 5.9479 2.8598
Hg 1.1489 1.5832 1.5457
Hg -1.8569 4.9777 1.9024
Bi -0.0564 3.2685 3.9779
```

Values from the calculation:
Final energy   -1.403 eV per atom
Space group   I-4
ΔE_f   0.02 eV per atom